(1)
Entry from the Alexandria database: a geometry-optimized NdEuNiPt structure (PBE-GGA).

a b c (Å): 5.026 5.026 5.026
angles (deg): 60.00 60.00 60.00
Each line ends with the local moment (μB).
Sites, in units of the cell vectors:
Pt 0.750 0.750 0.750  -0.02
Eu 0.500 0.500 0.500  6.77
Nd 0.000 0.000 0.000  0.05
Ni 0.250 0.250 0.250  -0.01

Output
DOS(E_F) = 8.6 states/eV/f.u.
crystal system = cubic
space group = F-43m
ΔE_f = -0.57 eV/atom

(2)
Entry from the Alexandria database: a geometry-optimized NdEuZnNi structure (PBE-GGA).

a b c (Å): 5.095 5.095 5.095
angles (deg): 60.00 60.00 60.00
Each line ends with the local moment (μB).
Sites, in units of the cell vectors:
Eu 0.000 0.000 0.000  6.78
Zn 0.750 0.750 0.750  0.01
Ni 0.250 0.250 0.250  -0.08
Nd 0.500 0.500 0.500  0.01

Output
DOS(E_F) = 6.9 states/eV/f.u.
crystal system = cubic
space group = F-43m
ΔE_f = -0.18 eV/atom

(3)
Entry from the Alexandria database: a geometry-optimized NdEuO2 structure (PBE-GGA).

a b c (Å): 3.561 3.561 6.238
angles (deg): 73.41 73.41 60.00
Each line ends with the local moment (μB).
Sites, in units of the cell vectors:
O 0.749 0.749 0.752  -0.04
Nd 0.000 0.000 0.000  -0.01
Eu 0.500 0.500 0.500  6.76
O 0.251 0.251 0.248  -0.04

Output
DOS(E_F) = 1.0 states/eV/f.u.
energy relative to the elements, uncorrected = -2.757 eV per atom
crystal system = trigonal
space group = R-3m

(4)
Entry from the Alexandria database: a geometry-optimized Nd3EuO structure (PBE-GGA).

a b c (Å): 5.149 5.149 5.149
angles (deg): 90.00 90.00 90.00
Each line ends with the local moment (μB).
Sites, in units of the cell vectors:
Eu 0.500 0.500 0.500  -6.87
Nd 0.000 0.500 0.000  -0.05
Nd 0.500 0.000 0.000  -0.05
O 0.000 0.000 0.000  -0.01
Nd 0.000 0.000 0.500  -0.05

Output
DOS(E_F) = 8.0 states/eV/f.u.
energy relative to the elements, uncorrected = -1.020 eV per atom
crystal system = cubic
space group = Pm-3m

(5)
Entry from the Alexandria database: a geometry-optimized NdEu2SbO6 structure (PBE-GGA).

a b c (Å): 6.049 6.049 6.049
angles (deg): 60.00 60.00 60.00
Each line ends with the local moment (μB).
Sites, in units of the cell vectors:
O 0.267 0.733 0.267  -0.02
O 0.267 0.267 0.733  -0.01
Eu 0.250 0.250 0.250  6.90
Nd 0.000 0.000 0.000  0.01
Eu 0.750 0.750 0.750  6.90
O 0.733 0.267 0.733  -0.02
O 0.733 0.733 0.267  -0.01
O 0.267 0.733 0.733  -0.02
Sb 0.500 0.500 0.500  0.00
O 0.733 0.267 0.267  -0.02

Output
DOS(E_F) = 0.0 states/eV/f.u.
energy relative to the elements, uncorrected = -2.462 eV per atom
crystal system = cubic
space group = Fm-3m

(6)
Entry from the Alexandria database: a geometry-optimized NdEuZrTiO6 structure (PBE-GGA).

a b c (Å): 5.735 5.735 5.735
angles (deg): 60.00 60.00 60.00
Each line ends with the local moment (μB).
Sites, in units of the cell vectors:
Zr 0.500 0.500 0.500  -0.01
Nd 0.750 0.750 0.750  0.01
Eu 0.250 0.250 0.250  6.83
O 0.243 0.243 0.757  -0.01
O 0.243 0.757 0.243  -0.01
O 0.757 0.243 0.757  -0.01
O 0.243 0.757 0.757  -0.01
Ti 0.000 0.000 0.000  -0.07
O 0.757 0.757 0.243  -0.01
O 0.757 0.243 0.243  -0.01

Output
DOS(E_F) = 2.8 states/eV/f.u.
energy relative to the elements, uncorrected = -3.044 eV per atom
crystal system = cubic
space group = F-43m

(7)
Entry from the Alexandria database: a geometry-optimized NdEuOs4 structure (PBE-GGA).

a b c (Å): 5.428 5.428 5.428
angles (deg): 60.00 60.00 60.00
Each line ends with the local moment (μB).
Sites, in units of the cell vectors:
Os 0.625 0.625 0.625  -0.27
Eu 0.250 0.250 0.250  6.60
Nd 0.000 0.000 0.000  0.03
Os 0.625 0.125 0.625  -0.27
Os 0.625 0.625 0.125  -0.27
Os 0.125 0.625 0.625  -0.27

Output
DOS(E_F) = 10.3 states/eV/f.u.
crystal system = cubic
space group = F-43m
ΔE_f = 0.02 eV/atom

(8)
Entry from the Alexandria database: a geometry-optimized NdEuOs structure (PBE-GGA).

a b c (Å): 3.507 3.507 7.301
angles (deg): 103.90 103.90 90.00
Each line ends with the local moment (μB).
Sites, in units of the cell vectors:
Os 0.662 0.662 0.324  -0.19
Nd 0.045 0.045 0.090  0.04
Eu 0.293 0.293 0.586  6.79

Output
DOS(E_F) = 8.7 states/eV/f.u.
crystal system = tetragonal
space group = I4mm
ΔE_f = 0.11 eV/atom

(9)
Entry from the Alexandria database: a geometry-optimized NdEuZnOs structure (PBE-GGA).

a b c (Å): 5.050 5.050 5.050
angles (deg): 60.00 60.00 60.00
Each line ends with the local moment (μB).
Sites, in units of the cell vectors:
Os 0.000 0.000 0.000  -0.24
Zn 0.500 0.500 0.500  0.01
Nd 0.250 0.250 0.250  0.03
Eu 0.750 0.750 0.750  6.75

Output
DOS(E_F) = 3.6 states/eV/f.u.
crystal system = cubic
space group = F-43m
ΔE_f = 0.01 eV/atom

(10)
Entry from the Alexandria database: a geometry-optimized Nd2EuP structure (PBE-GGA).

a b c (Å): 4.006 4.006 10.178
angles (deg): 78.65 78.65 60.00
Each line ends with the local moment (μB).
Sites, in units of the cell vectors:
Nd 0.278 0.278 0.167  0.06
P 0.000 0.000 0.000  0.01
Nd 0.722 0.722 0.833  0.06
Eu 0.500 0.500 0.500  7.02

Output
DOS(E_F) = 3.9 states/eV/f.u.
crystal system = trigonal
space group = R-3m
ΔE_f = -0.69 eV/atom

(11)
Entry from the Alexandria database: a geometry-optimized Nd3EuP structure (PBE-GGA).

a b c (Å): 5.654 5.654 5.654
angles (deg): 90.00 90.00 90.00
Each line ends with the local moment (μB).
Sites, in units of the cell vectors:
Eu 0.500 0.500 0.500  6.94
Nd 0.000 0.000 0.500  0.13
Nd 0.500 0.000 0.000  0.13
Nd 0.000 0.500 0.000  0.13
P 0.000 0.000 0.000  0.01

Output
DOS(E_F) = 15.8 states/eV/f.u.
crystal system = cubic
space group = Pm-3m
ΔE_f = -0.42 eV/atom

(12)
Entry from the Alexandria database: a geometry-optimized NdEuP2 structure (PBE-GGA).

a b c (Å): 4.171 4.171 7.231
angles (deg): 73.24 73.24 60.00
Each line ends with the local moment (μB).
Sites, in units of the cell vectors:
P 0.250 0.250 0.249  -0.08
P 0.750 0.750 0.751  -0.08
Nd 0.000 0.000 0.000  -0.02
Eu 0.500 0.500 0.500  6.57

Output
DOS(E_F) = 10.0 states/eV/f.u.
crystal system = trigonal
space group = R-3m
ΔE_f = -1.29 eV/atom

(13)
Entry from the Alexandria database: a geometry-optimized NdEu2Pa structure (PBE-GGA).

a b c (Å): 3.510 3.510 12.265
angles (deg): 81.77 81.77 60.00
Each line ends with the local moment (μB).
Sites, in units of the cell vectors:
Eu 0.255 0.255 0.235  -6.89
Pa 0.000 0.000 0.000  0.28
Eu 0.745 0.745 0.765  -6.89
Nd 0.500 0.500 0.500  -0.01

Output
DOS(E_F) = 6.4 states/eV/f.u.
crystal system = trigonal
space group = R-3m
ΔE_f = 0.28 eV/atom

(14)
Entry from the Alexandria database: a geometry-optimized NdEu2Pb structure (PBE-GGA).

a b c (Å): 5.249 5.001 5.001
angles (deg): 90.00 90.00 90.00
Each line ends with the local moment (μB).
Sites, in units of the cell vectors:
Eu 0.000 0.500 0.000  6.94
Eu 0.000 0.000 0.500  6.94
Nd 0.500 0.500 0.500  0.23
Pb 0.500 0.000 0.000  -0.07

Output
DOS(E_F) = 3.9 states/eV/f.u.
crystal system = tetragonal
energy relative to the lowest polymorph listed for this composition = 0.000 eV per atom
space group = P4/mmm
ΔE_f = -0.32 eV/atom

(15)
Entry from the Alexandria database: a geometry-optimized Nd2EuPb structure (PBE-GGA).

a b c (Å): 5.661 5.661 5.661
angles (deg): 60.00 60.00 60.00
Each line ends with the local moment (μB).
Sites, in units of the cell vectors:
Pb 0.000 0.000 0.000  -0.03
Nd 0.250 0.250 0.250  0.17
Nd 0.750 0.750 0.750  0.17
Eu 0.500 0.500 0.500  7.00

Output
DOS(E_F) = 6.5 states/eV/f.u.
crystal system = cubic
energy relative to the lowest polymorph listed for this composition = 0.129 eV per atom
space group = Fm-3m
ΔE_f = -0.18 eV/atom

(16)
Entry from the Alexandria database: a geometry-optimized Nd2EuPb structure (PBE-GGA).

a b c (Å): 4.309 4.309 7.111
angles (deg): 90.00 90.00 90.00
Each line ends with the local moment (μB).
Sites, in units of the cell vectors:
Nd 0.000 0.000 0.224  0.07
Eu 0.500 0.500 0.500  6.90
Pb 0.500 0.500 0.000  -0.02
Nd 0.000 0.000 0.776  0.07

Output
DOS(E_F) = 4.6 states/eV/f.u.
crystal system = tetragonal
energy relative to the lowest polymorph listed for this composition = 0.089 eV per atom
space group = P4/mmm
ΔE_f = -0.22 eV/atom

(17)
Entry from the Alexandria database: a geometry-optimized Nd2EuPb structure (PBE-GGA).

a b c (Å): 4.949 5.072 5.072
angles (deg): 90.00 90.00 90.00
Each line ends with the local moment (μB).
Sites, in units of the cell vectors:
Nd 0.000 0.000 0.500  0.10
Nd 0.000 0.500 0.000  0.10
Pb 0.500 0.500 0.500  -0.03
Eu 0.500 0.000 0.000  6.92

Output
DOS(E_F) = 4.6 states/eV/f.u.
crystal system = tetragonal
energy relative to the lowest polymorph listed for this composition = 0.000 eV per atom
space group = P4/mmm
ΔE_f = -0.31 eV/atom

(18)
Entry from the Alexandria database: a geometry-optimized NdEu2Pb structure (PBE-GGA).

a b c (Å): 4.383 4.383 7.105
angles (deg): 90.00 90.00 90.00
Each line ends with the local moment (μB).
Sites, in units of the cell vectors:
Pb 0.500 0.500 0.000  -0.02
Nd 0.500 0.500 0.500  0.14
Eu 0.000 0.000 0.230  6.89
Eu 0.000 0.000 0.770  6.89

Output
DOS(E_F) = 5.0 states/eV/f.u.
crystal system = tetragonal
energy relative to the lowest polymorph listed for this composition = 0.123 eV per atom
space group = P4/mmm
ΔE_f = -0.19 eV/atom

(19)
Entry from the Alexandria database: a geometry-optimized Nd2EuPb structure (PBE-GGA).

a b c (Å): 3.613 3.613 12.519
angles (deg): 81.70 81.70 60.00
Each line ends with the local moment (μB).
Sites, in units of the cell vectors:
Nd 0.093 0.093 0.720  -0.02
Pb 0.500 0.500 0.500  0.00
Nd 0.907 0.907 0.280  -0.02
Eu 0.000 0.000 0.000  -7.02

Output
DOS(E_F) = 5.3 states/eV/f.u.
crystal system = trigonal
energy relative to the lowest polymorph listed for this composition = 0.321 eV per atom
space group = R-3m
ΔE_f = 0.01 eV/atom

(20)
Entry from the Alexandria database: a geometry-optimized NdEuPdPb structure (PBE-GGA).

a b c (Å): 5.390 5.390 5.390
angles (deg): 60.00 60.00 60.00
Each line ends with the local moment (μB).
Sites, in units of the cell vectors:
Eu 0.250 0.250 0.250  6.79
Pd 0.000 0.000 0.000  -0.03
Nd 0.750 0.750 0.750  0.00
Pb 0.500 0.500 0.500  -0.02

Output
DOS(E_F) = 13.3 states/eV/f.u.
crystal system = cubic
space group = F-43m
ΔE_f = -0.55 eV/atom